# 1
First-principles (PBE) data for a geometry-optimized Ti2ReTc structure, as listed in Alexandria.

a b c (Å): 4.398 4.398 4.398
angles (deg): 60.00 60.00 60.00
Positions (direct):
Re  0.500  0.500  0.500
Ti  0.750  0.750  0.750
Ti  0.250  0.250  0.250
Tc  0.000  0.000  0.000

## Properties
ΔE_f   -0.439 eV/atom
VASP energy   -10.090 eV/atom
Size of the total moment   0.000 μB/atom
Theoretical density   10.487 g/cm3
Symmetry   Fm-3m (225)
Distance to the lowest polymorph of the same formula   0.004 eV/atom



# 2
First-principles (PBE) data for a geometry-optimized Ti2Re5Tc4 structure, as listed in Alexandria.

a b c (Å): 2.735 7.799 8.981
angles (deg): 84.25 72.66 70.71
Positions (direct):
Re  0.500  0.000  0.000
Re  0.086  0.840  0.263
Re  0.337  0.330  0.501
Re  0.914  0.160  0.737
Re  0.663  0.670  0.499
Ti  0.752  0.500  0.247
Ti  0.248  0.500  0.753
Tc  0.643  0.837  0.735
Tc  0.804  0.324  0.000
Tc  0.196  0.676  0.000
Tc  0.357  0.163  0.265

## Properties
ΔE_f   0.101 eV/atom
VASP energy   -10.762 eV/atom
Size of the total moment   0.000 μB/atom
Theoretical density   13.651 g/cm3
Symmetry   P-1 (2)



# 3
First-principles (PBE) data for a geometry-optimized Ti5Re6Tc structure, as listed in Alexandria.

a b c (Å): 4.401 6.225 6.952
angles (deg): 90.00 108.44 90.00
Positions (direct):
Re  0.835  0.249  0.670
Re  0.835  0.751  0.670
Re  0.165  0.751  0.330
Re  0.500  0.248  0.000
Re  0.165  0.249  0.330
Re  0.500  0.752  0.000
Ti  0.668  0.000  0.335
Ti  0.666  0.500  0.333
Ti  0.000  0.500  0.000
Ti  0.332  0.000  0.665
Ti  0.334  0.500  0.667
Tc  0.000  0.000  0.000

## Properties
ΔE_f   -0.373 eV/atom
VASP energy   -10.751 eV/atom
Size of the total moment   0.000 μB/atom
Theoretical density   13.368 g/cm3
Symmetry   Cmmm (65)



# 4
First-principles (PBE) data for a geometry-optimized TiRe2Tc structure, as listed in Alexandria.

a b c (Å): 4.391 4.391 4.391
angles (deg): 60.00 60.00 60.00
Positions (direct):
Tc  0.500  0.500  0.500
Re  0.750  0.750  0.750
Re  0.250  0.250  0.250
Ti  0.000  0.000  0.000

## Properties
ΔE_f   -0.142 eV/atom
VASP energy   -10.931 eV/atom
Size of the total moment   0.000 μB/atom
Theoretical density   14.377 g/cm3
Symmetry   Fm-3m (225)
Distance to the lowest polymorph of the same formula   0.026 eV/atom



# 5
First-principles (PBE) data for a geometry-optimized Ti4ReTc3 structure, as listed in Alexandria.

a b c (Å): 3.097 4.404 8.805
angles (deg): 90.00 90.00 90.00
Positions (direct):
Tc  0.500  0.000  0.250
Tc  0.500  0.000  0.750
Tc  0.500  0.500  0.500
Ti  0.000  0.000  0.000
Ti  0.000  0.500  0.749
Ti  0.000  0.500  0.251
Ti  0.000  0.000  0.500
Re  0.500  0.500  0.000

## Properties
ΔE_f   -0.468 eV/atom
VASP energy   -9.859 eV/atom
Size of the total moment   0.000 μB/atom
Theoretical density   9.288 g/cm3
Symmetry   Pmmm (47)



# 6
First-principles (PBE) data for a geometry-optimized Ti2Re2Tc3 structure, as listed in Alexandria.

a b c (Å): 3.064 3.030 11.736
angles (deg): 90.00 97.50 90.00
Positions (direct):
Tc  0.000  0.000  0.000
Tc  0.431  0.500  0.863
Tc  0.569  0.500  0.137
Ti  0.864  0.000  0.728
Ti  0.136  0.000  0.272
Re  0.707  0.500  0.414
Re  0.293  0.500  0.586

## Properties
ΔE_f   0.018 eV/atom
VASP energy   -10.237 eV/atom
Size of the total moment   0.000 μB/atom
Theoretical density   11.717 g/cm3
Symmetry   Cmmm (65)



# 7
First-principles (PBE) data for a geometry-optimized Ti3ReTc4 structure, as listed in Alexandria.

a b c (Å): 3.087 3.087 12.521
angles (deg): 90.00 90.00 90.00
Positions (direct):
Tc  0.000  0.000  0.125
Tc  0.000  0.000  0.374
Tc  0.000  0.000  0.626
Tc  0.000  0.000  0.875
Ti  0.500  0.500  0.254
Ti  0.500  0.500  0.500
Ti  0.500  0.500  0.746
Re  0.500  0.500  0.000

## Properties
ΔE_f   -0.385 eV/atom
VASP energy   -10.084 eV/atom
Size of the total moment   0.000 μB/atom
Theoretical density   10.045 g/cm3
Symmetry   P4/mmm (123)



# 8
First-principles (PBE) data for a geometry-optimized TiRe2Tc structure, as listed in Alexandria.

a b c (Å): 3.079 3.079 6.308
angles (deg): 90.00 90.00 90.00
Positions (direct):
Ti  0.500  0.500  0.000
Re  0.000  0.000  0.247
Re  0.000  0.000  0.753
Tc  0.500  0.500  0.500

## Properties
ΔE_f   -0.168 eV/atom
VASP energy   -10.957 eV/atom
Size of the total moment   0.000 μB/atom
Theoretical density   14.391 g/cm3
Symmetry   P4/mmm (123)
Distance to the lowest polymorph of the same formula   0.000 eV/atom



# 9
First-principles (PBE) data for a geometry-optimized TiReTcW structure, as listed in Alexandria.

a b c (Å): 4.418 4.418 4.418
angles (deg): 60.00 60.00 60.00
Positions (direct):
Tc  0.000  0.000  0.000
W  0.750  0.750  0.750
Ti  0.250  0.250  0.250
Re  0.500  0.500  0.500

## Properties
ΔE_f   -0.366 eV/atom
VASP energy   -11.282 eV/atom
Size of the total moment   0.000 μB/atom
Theoretical density   14.054 g/cm3
Symmetry   F-43m (216)



# 10
First-principles (PBE) data for a geometry-optimized ZrTiReTc structure, as listed in Alexandria.

a b c (Å): 4.539 4.539 4.539
angles (deg): 60.00 60.00 60.00
Positions (direct):
Re  0.500  0.500  0.500
Zr  0.750  0.750  0.750
Ti  0.250  0.250  0.250
Tc  0.000  0.000  0.000

## Properties
ΔE_f   -0.319 eV/atom
VASP energy   -10.133 eV/atom
Size of the total moment   0.000 μB/atom
Theoretical density   10.632 g/cm3
Symmetry   F-43m (216)



# 11
First-principles (PBE) data for a geometry-optimized ZrTi2ReTc structure, as listed in Alexandria.

a b c (Å): 4.663 4.776 4.663
angles (deg): 90.00 90.00 90.00
Positions (direct):
Tc  0.000  0.500  0.000
Ti  0.500  0.000  0.000
Ti  0.000  0.000  0.500
Zr  0.500  0.500  0.500
Re  0.000  0.000  0.000

## Properties
ΔE_f   0.679 eV/atom
VASP energy   -8.751 eV/atom
Size of the total moment   0.000 μB/atom
Theoretical density   7.534 g/cm3
Symmetry   P4/mmm (123)



# 12
First-principles (PBE) data for a geometry-optimized TlReTc2 structure, as listed in Alexandria.

a b c (Å): 4.531 4.531 4.531
angles (deg): 60.00 60.00 60.00
Positions (direct):
Tc  0.250  0.250  0.250
Tc  0.000  0.000  0.000
Tl  0.750  0.750  0.750
Re  0.500  0.500  0.500

## Properties
ΔE_f   0.834 eV/atom
VASP energy   -8.053 eV/atom
Size of the total moment   0.000 μB/atom
Theoretical density   14.805 g/cm3
Symmetry   F-43m (216)
Distance to the lowest polymorph of the same formula   0.436 eV/atom



# 13
First-principles (PBE) data for a geometry-optimized TlRe2Tc structure, as listed in Alexandria.

a b c (Å): 4.975 4.975 2.915
angles (deg): 90.00 90.00 113.86
Positions (direct):
Re  0.000  0.000  0.000
Re  0.500  0.500  0.000
Tc  0.500  0.000  0.500
Tl  0.000  0.500  0.500

## Properties
ΔE_f   0.888 eV/atom
VASP energy   -8.520 eV/atom
Size of the total moment   0.000 μB/atom
Theoretical density   16.981 g/cm3
Symmetry   Cmmm (65)
Distance to the lowest polymorph of the same formula   0.398 eV/atom



# 14
First-principles (PBE) data for a geometry-optimized TlRe2Tc structure, as listed in Alexandria.

a b c (Å): 4.697 4.697 3.005
angles (deg): 90.00 90.00 90.00
Last column: magnetic moment on the atom in μB.
Positions (direct):
Re  0.500  0.500  0.000  0.02
Re  0.000  0.000  0.000  0.02
Tl  0.000  0.500  0.500  0.00
Tc  0.500  0.000  0.500  0.07

## Properties
ΔE_f   1.050 eV/atom
VASP energy   -8.357 eV/atom
Size of the total moment   0.029 μB/atom
Theoretical density   16.897 g/cm3
Symmetry   P4/mmm (123)
Distance to the lowest polymorph of the same formula   0.560 eV/atom



# 15
First-principles (PBE) data for a geometry-optimized TlReTc2 structure, as listed in Alexandria.

a b c (Å): 9.319 9.319 9.319
angles (deg): 17.87 17.87 17.87
Positions (direct):
Tl  0.250  0.250  0.250
Tc  0.493  0.493  0.493
Tc  0.007  0.007  0.007
Re  0.750  0.750  0.750

## Properties
ΔE_f   0.469 eV/atom
VASP energy   -8.418 eV/atom
Size of the total moment   0.000 μB/atom
Theoretical density   14.648 g/cm3
Symmetry   R-3m (166)
Distance to the lowest polymorph of the same formula   0.071 eV/atom



# 16
First-principles (PBE) data for a geometry-optimized TlReTc2 structure, as listed in Alexandria.

a b c (Å): 5.343 5.343 5.343
angles (deg): 144.92 131.09 61.60
Positions (direct):
Tc  0.753  0.253  0.500
Tc  0.005  0.005  0.000
Tl  0.499  0.499  0.000
Re  0.243  0.743  0.500

## Properties
ΔE_f   0.670 eV/atom
VASP energy   -8.216 eV/atom
Size of the total moment   0.000 μB/atom
Theoretical density   14.896 g/cm3
Symmetry   Imm2 (44)
Distance to the lowest polymorph of the same formula   0.273 eV/atom



# 17
First-principles (PBE) data for a geometry-optimized TlRe2Tc structure, as listed in Alexandria.

a b c (Å): 9.418 9.418 9.418
angles (deg): 17.62 17.62 17.62
Positions (direct):
Tl  0.751  0.751  0.751
Tc  0.507  0.507  0.507
Re  0.993  0.993  0.993
Re  0.250  0.250  0.250

## Properties
ΔE_f   0.528 eV/atom
VASP energy   -8.879 eV/atom
Size of the total moment   0.001 μB/atom
Theoretical density   16.777 g/cm3
Symmetry   R3m (160)
Distance to the lowest polymorph of the same formula   0.038 eV/atom



# 18
First-principles (PBE) data for a geometry-optimized TlReTc2 structure, as listed in Alexandria.

a b c (Å): 4.954 4.954 4.881
angles (deg): 78.60 78.60 34.50
Positions (direct):
Tc  0.264  0.264  0.220
Tc  0.000  0.000  0.991
Tl  0.501  0.501  0.493
Re  0.736  0.736  0.796

## Properties
ΔE_f   0.579 eV/atom
VASP energy   -8.307 eV/atom
Size of the total moment   0.000 μB/atom
Theoretical density   14.671 g/cm3
Symmetry   Cm (8)
Distance to the lowest polymorph of the same formula   0.181 eV/atom



# 19
First-principles (PBE) data for a geometry-optimized TlReTc2 structure, as listed in Alexandria.

a b c (Å): 4.883 4.883 4.988
angles (deg): 78.97 78.97 34.98
Positions (direct):
Tc  0.486  0.486  0.541
Tc  0.014  0.014  0.959
Tl  0.250  0.250  0.250
Re  0.750  0.750  0.750

## Properties
ΔE_f   0.597 eV/atom
VASP energy   -8.290 eV/atom
Size of the total moment   0.000 μB/atom
Theoretical density   14.580 g/cm3
Symmetry   C2/m (12)
Distance to the lowest polymorph of the same formula   0.199 eV/atom



# 20
First-principles (PBE) data for a geometry-optimized TlRe2Tc structure, as listed in Alexandria.

a b c (Å): 2.880 2.880 8.068
angles (deg): 90.00 90.00 90.00
Positions (direct):
Re  0.000  0.000  0.031
Re  0.500  0.500  0.251
Tl  0.500  0.500  0.747
Tc  0.000  0.000  0.471

## Properties
ΔE_f   0.490 eV/atom
VASP energy   -8.917 eV/atom
Size of the total moment   0.000 μB/atom
Theoretical density   16.749 g/cm3
Symmetry   P4mm (99)
Distance to the lowest polymorph of the same formula   0.000 eV/atom



# 21
First-principles (PBE) data for a geometry-optimized TlReTc2 structure, as listed in Alexandria.

a b c (Å): 2.825 2.825 9.466
angles (deg): 90.00 90.00 116.52
Positions (direct):
Tl  0.000  0.000  0.497
Tc  0.500  0.500  0.229
Tc  0.000  0.000  0.001
Re  0.500  0.500  0.773

## Properties
ΔE_f   0.717 eV/atom
VASP energy   -8.170 eV/atom
Size of the total moment   0.000 μB/atom
Theoretical density   14.411 g/cm3
Symmetry   Cmm2 (35)
Distance to the lowest polymorph of the same formula   0.319 eV/atom



# 22
First-principles (PBE) data for a geometry-optimized TlReTc2 structure, as listed in Alexandria.

a b c (Å): 7.415 7.415 5.923
angles (deg): 51.25 51.25 90.00
Positions (direct):
Tl  0.000  0.000  0.000
Tl  0.750  0.250  0.500
Tc  0.184  0.625  0.250
Tc  0.375  0.434  0.750
Tc  0.566  0.125  0.250
Tc  0.875  0.816  0.750
Re  0.500  0.500  0.000
Re  0.250  0.750  0.500

## Properties
ΔE_f   0.975 eV/atom
VASP energy   -7.911 eV/atom
Size of the total moment   0.000 μB/atom
Theoretical density   12.860 g/cm3
Symmetry   I-42d (122)
Distance to the lowest polymorph of the same formula   0.577 eV/atom



# 23
First-principles (PBE) data for a geometry-optimized Tl4ReTc structure, as listed in Alexandria.

a b c (Å): 5.979 5.979 5.979
angles (deg): 60.00 60.00 60.00
Last column: magnetic moment on the atom in μB.
Positions (direct):
Tl  0.375  0.375  0.375  0.00
Tl  0.875  0.375  0.375  0.00
Tl  0.375  0.375  0.875  0.00
Tl  0.375  0.875  0.375  0.00
Re  0.750  0.750  0.750  2.68
Tc  0.000  0.000  0.000  2.92

## Properties
ΔE_f   1.634 eV/atom
VASP energy   -3.746 eV/atom
Size of the total moment   1.037 μB/atom
Theoretical density   12.105 g/cm3
Symmetry   F-43m (216)



# 24
First-principles (PBE) data for a geometry-optimized TlReTc2 structure, as listed in Alexandria.

a b c (Å): 4.024 2.880 6.498
angles (deg): 63.63 90.00 90.00
Positions (direct):
Re  0.500  0.701  0.802
Tl  0.000  0.507  0.493
Tc  0.500  0.283  0.216
Tc  0.000  0.009  0.989

## Properties
ΔE_f   0.543 eV/atom
VASP energy   -8.344 eV/atom
Size of the total moment   0.000 μB/atom
Theoretical density   14.438 g/cm3
Symmetry   Pm (6)
Distance to the lowest polymorph of the same formula   0.145 eV/atom



# 25
First-principles (PBE) data for a geometry-optimized TlReTc2 structure, as listed in Alexandria.

a b c (Å): 5.119 5.119 5.119
angles (deg): 135.47 135.47 64.80
Positions (direct):
Re  0.750  0.250  0.500
Tc  0.000  0.000  0.000
Tc  0.250  0.750  0.500
Tl  0.500  0.500  0.000

## Properties
ΔE_f   0.700 eV/atom
VASP energy   -8.187 eV/atom
Size of the total moment   0.000 μB/atom
Theoretical density   14.975 g/cm3
Symmetry   I-4m2 (119)
Distance to the lowest polymorph of the same formula   0.302 eV/atom



# 26
First-principles (PBE) data for a geometry-optimized TlReTc2 structure, as listed in Alexandria.

a b c (Å): 5.346 5.346 5.346
angles (deg): 146.21 127.32 64.07
Positions (direct):
Tc  0.021  0.021  0.000
Tc  0.479  0.479  0.000
Tl  0.750  0.250  0.500
Re  0.250  0.750  0.500

## Properties
ΔE_f   0.728 eV/atom
VASP energy   -8.158 eV/atom
Size of the total moment   0.000 μB/atom
Theoretical density   14.582 g/cm3
Symmetry   Immm (71)
Distance to the lowest polymorph of the same formula   0.331 eV/atom



# 27
First-principles (PBE) data for a geometry-optimized TlRe2Tc structure, as listed in Alexandria.

a b c (Å): 5.336 5.336 5.336
angles (deg): 145.04 130.18 62.31
Positions (direct):
Tc  0.505  0.505  0.000
Tl  0.249  0.749  0.500
Re  0.992  0.992  0.000
Re  0.755  0.255  0.500

## Properties
ΔE_f   0.818 eV/atom
VASP energy   -8.589 eV/atom
Size of the total moment   0.000 μB/atom
Theoretical density   17.026 g/cm3
Symmetry   Imm2 (44)
Distance to the lowest polymorph of the same formula   0.328 eV/atom



# 28
First-principles (PBE) data for a geometry-optimized TlRe2Tc structure, as listed in Alexandria.

a b c (Å): 4.211 3.954 3.954
angles (deg): 90.00 90.00 90.00
Last column: magnetic moment on the atom in μB.
Positions (direct):
Re  0.000  0.000  0.000  0.27
Re  0.000  0.500  0.500  0.27
Tl  0.500  0.000  0.500  0.00
Tc  0.500  0.500  0.000  0.56

## Properties
ΔE_f   0.953 eV/atom
VASP energy   -8.454 eV/atom
Size of the total moment   0.295 μB/atom
Theoretical density   17.020 g/cm3
Symmetry   P4/mmm (123)
Distance to the lowest polymorph of the same formula   0.463 eV/atom



# 29
First-principles (PBE) data for a geometry-optimized TlRe2Tc structure, as listed in Alexandria.

a b c (Å): 3.979 2.870 6.600
angles (deg): 64.21 90.00 90.00
Positions (direct):
Tl  0.500  0.757  0.743
Re  0.500  0.257  0.241
Re  0.000  0.952  0.051
Tc  0.000  0.534  0.465

## Properties
ΔE_f   0.586 eV/atom
VASP energy   -8.821 eV/atom
Size of the total moment   0.000 μB/atom
Theoretical density   16.510 g/cm3
Symmetry   Pm (6)
Distance to the lowest polymorph of the same formula   0.096 eV/atom